Computed, not measured: a relaxed Cr2CoOs crystal at the PBE-GGA level of DFT.

Calculated values
Symmetry: C2/m
ΔE_f: 0.118 eV per atom
Spin magnetization: 0.00 μB per formula unit
D(E_F): 0.904 states/eV per atom
Crystal system: monoclinic

a b c (Å): 4.448 4.448 4.446
angles (deg): 80.85 80.85 33.93
Positions (direct):
Co 0.250 0.250 0.250
Cr 0.995 0.995 0.016
Cr 0.505 0.505 0.484
Os 0.750 0.750 0.750